Ac2PaB12Os3: relaxed, PBE.

Lattice parameters (Å, degrees): 7.769 7.769 7.769 50.93 50.93 50.93
Element x y z (fractional)
Ac  0.114  0.114  0.114
Ac  0.886  0.886  0.886
Pa  0.500  0.500  0.500
B  0.070  0.623  0.623
B  0.166  0.166  0.461
B  0.166  0.461  0.166
B  0.377  0.377  0.930
B  0.377  0.930  0.377
B  0.461  0.166  0.166
B  0.539  0.834  0.834
B  0.623  0.070  0.623
B  0.623  0.623  0.070
B  0.834  0.539  0.834
B  0.834  0.834  0.539
B  0.930  0.377  0.377
Os  0.000  0.500  0.500
Os  0.500  0.000  0.500
Os  0.500  0.500  0.000

Properties
Raw total energy: -6.95 eV/atom
Energy of formation: 356 meV/atom
N(E_F): 13.5 states/eV per cell
V: 14.48 Å³ per atom

AcPmDy5Ho2: relaxed, PBE.

Lattice parameters (Å, degrees): 9.881 9.881 9.881 125.99 125.99 79.90
Element x y z (fractional)
Ac  0.250  0.250  0.000
Ac  0.750  0.750  0.000
Pm  0.250  0.750  0.500
Pm  0.750  0.250  0.500
Dy  0.000  0.000  0.000
Dy  0.075  0.575  0.901
Dy  0.174  0.075  0.500
Dy  0.326  0.826  0.901
Dy  0.425  0.326  0.500
Dy  0.500  0.500  0.000
Dy  0.575  0.674  0.500
Dy  0.674  0.174  0.099
Dy  0.826  0.925  0.500
Dy  0.925  0.425  0.099
Ho  0.114  0.386  0.500
Ho  0.386  0.886  0.273
Ho  0.614  0.114  0.727
Ho  0.886  0.614  0.500

Properties
Raw total energy: -4.28 eV/atom
Energy of formation: 275 meV/atom
N(E_F): 24.7 states/eV per cell
V: 33.89 Å³ per atom

BaMoPb2: relaxed, PBE.

Lattice parameters (Å, degrees): 8.202 4.750 7.090 90.00 112.83 90.00
Element x y z (fractional)
Ba  0.000  0.000  0.000
Ba  0.500  0.500  0.000
Mo  0.000  0.500  0.500
Mo  0.500  0.000  0.500
Pb  0.220  0.000  0.659
Pb  0.280  0.500  0.341
Pb  0.720  0.500  0.659
Pb  0.780  0.000  0.341

Properties
Raw total energy: -4.75 eV/atom
Energy of formation: 291 meV/atom
N(E_F): 5.9 states/eV per cell
V: 31.82 Å³ per atom
E above lowest polymorph: 47 meV per atom

Dy2TmMn: relaxed, PBE.

Lattice parameters (Å, degrees): 3.525 3.525 8.543 90.00 90.00 90.00
Element x y z (fractional)
Dy  0.000  0.000  0.205
Dy  0.000  0.000  0.795
Tm  0.500  0.500  0.500
Mn  0.500  0.500  0.000

Properties
Raw total energy: -5.58 eV/atom
Energy of formation: 129 meV/atom
N(E_F): 5.9 states/eV per cell
V: 26.55 Å³ per atom
E above lowest polymorph: 0 meV per atom

CePm3Er3S8: relaxed, PBE.

Lattice parameters (Å, degrees): 7.916 7.916 7.916 59.76 59.76 59.76
Element x y z (fractional)
Ce  0.000  0.000  0.000
Pm  0.000  0.000  0.500
Pm  0.000  0.500  0.000
Pm  0.500  0.000  0.000
Er  0.000  0.500  0.500
Er  0.500  0.000  0.500
Er  0.500  0.500  0.000
S  0.254  0.254  0.735
S  0.254  0.735  0.254
S  0.255  0.255  0.255
S  0.265  0.746  0.746
S  0.735  0.254  0.254
S  0.745  0.745  0.745
S  0.746  0.265  0.746
S  0.746  0.746  0.265

Properties
Raw total energy: -6.48 eV/atom
Energy relative to the elements, uncorrected: -2.017 eV/atom
N(E_F): 11.5 states/eV per cell
V: 23.26 Å³ per atom

CsHoPb: relaxed, PBE.

Lattice parameters (Å, degrees): 29.784 3.787 4.742 90.00 90.94 90.00
Element x y z (fractional)
Cs  0.084  0.000  0.233
Cs  0.416  0.500  0.767
Cs  0.584  0.500  0.233
Cs  0.916  0.000  0.767
Ho  0.215  0.000  0.246
Ho  0.285  0.500  0.754
Ho  0.715  0.500  0.246
Ho  0.785  0.000  0.754
Pb  0.175  0.500  0.742
Pb  0.325  0.000  0.258
Pb  0.675  0.000  0.742
Pb  0.825  0.500  0.258

Properties
Raw total energy: -3.30 eV/atom
Energy of formation: -255 meV/atom
N(E_F): 7.9 states/eV per cell
V: 44.57 Å³ per atom

SiSeSN: relaxed, PBE.

Lattice parameters (Å, degrees): 2.975 5.540 5.664 100.52 105.19 105.41
Element x y z (fractional)
Si  0.000  0.000  0.000
Se  0.685  0.834  0.534
S  0.690  0.582  0.794
N  0.616  0.115  0.117

Properties
Raw total energy: -5.39 eV/atom
Energy relative to the elements, uncorrected: -0.050 eV/atom
N(E_F): 1.2 states/eV per cell
V: 20.90 Å³ per atom
E above lowest polymorph: 86 meV per atom

NiOsBr2: relaxed, PBE.

Lattice parameters (Å, degrees): 3.797 3.797 21.130 90.00 90.00 120.00
Element x y z (fractional)
Ni  0.000  0.000  0.000
Ni  0.333  0.667  0.667
Ni  0.667  0.333  0.333
Os  0.000  0.000  0.500
Os  0.333  0.667  0.167
Os  0.667  0.333  0.833
Br  0.000  0.000  0.106
Br  0.000  0.000  0.894
Br  0.333  0.667  0.561
Br  0.333  0.667  0.772
Br  0.667  0.333  0.228
Br  0.667  0.333  0.439

Properties
Raw total energy: -4.17 eV/atom
Energy relative to the elements, uncorrected: 0.919 eV/atom
N(E_F): 4.6 states/eV per cell
V: 21.98 Å³ per atom
E above lowest polymorph: 472 meV per atom